DFT (PBE) results for a geometry-optimized Na4Hf3ScSe8 structure.

abc: 7.6791 7.6791 21.3833
angles: 90.00 90.00 120.00
Space group R-3m (No. 166, hexagonal axes)
Asymmetric unit:
Na  0.0000  0.0000  0.0000 [3 per cell]
Na  0.0000  0.5000  0.0000 [9 per cell]
Hf  0.0000  0.5000  0.5000 [9 per cell]
Sc  0.0000  0.0000  0.5000 [3 per cell]
Se  0.0000  0.0000  0.2411 [6 per cell]
Se  0.0020  0.5010  0.7592 [18 per cell]

Properties
- Uncorrected formation energy: -21.3 eV/f.u.
- Calculated density: 5.95 Mg/m³

***

DFT (PBE) results for a geometry-optimized TlMoW2 structure.

abc: 3.527 4.401 4.455
angles: 90.00 90.00 90.00
Space group Pmmm (No. 47)
Asymmetric unit:
Tl  0.000  0.000  0.000 [1 per cell]
Mo  0.500  0.500  0.000 [1 per cell]
W  0.000  0.500  0.500 [1 per cell]
W  0.500  0.000  0.500 [1 per cell]

Properties
- Distance to the lowest polymorph of the same formula: 241 meV/atom
- Formation enthalpy at 0 K: 0.74 eV per atom
- Calculated density: 16.04 Mg/m³

***

DFT (PBE) results for a geometry-optimized K7Y6 structure.

abc: 6.6702 6.6702 43.5023
angles: 90.00 90.00 120.00
Space group R-3m (No. 166, hexagonal axes)
Asymmetric unit:
K  0.0000  0.0000  0.0000 [3 per cell]
K  0.0044  0.5022  0.4111 [18 per cell]
Y  0.0000  0.0000  0.1664 [6 per cell]
Y  0.0000  0.0000  0.3455 [6 per cell]
Y  0.0000  0.0000  0.4653 [6 per cell]

Properties
- Formation enthalpy at 0 K: 0.66 eV per atom
- Calculated density: 2.40 Mg/m³

***

DFT (PBE) results for a geometry-optimized UAlNi structure.

abc: 2.862 2.862 11.705
angles: 90.00 90.00 90.00
Space group I4mm (No. 107)
Asymmetric unit:
U  0.000  0.000  0.000 [2 per cell]
Al  0.000  0.000  0.295 [2 per cell]
Ni  0.000  0.000  0.675 [2 per cell]

Properties
- Formation enthalpy at 0 K: -0.26 eV per atom
- Calculated density: 11.21 Mg/m³

***

DFT (PBE) results for a geometry-optimized SmFeGe2 structure.

abc: 4.0876 4.0876 15.4517
angles: 90.00 90.00 120.00
Space group R-3m (No. 166, hexagonal axes)
Asymmetric unit:
Sm  0.0000  0.0000  0.0000 [3 per cell]
Fe  0.0000  0.0000  0.5000 [3 per cell]
Ge  0.0000  0.0000  0.2158 [6 per cell]

Properties
- Formation enthalpy at 0 K: -0.48 eV per atom
- Calculated density: 7.83 Mg/m³

***

DFT (PBE) results for a geometry-optimized CrIn2Au structure.

abc: 4.361 4.361 4.108
angles: 90.00 90.00 90.00
Space group P4/mmm (No. 123)
Asymmetric unit:
Cr  0.000  0.000  0.000 [1 per cell]
In  0.000  0.500  0.500 [2 per cell]
Au  0.500  0.500  0.000 [1 per cell]

Properties
- Distance to the lowest polymorph of the same formula: 6 meV/atom
- Formation enthalpy at 0 K: 0.12 eV per atom
- Calculated density: 10.17 Mg/m³

***

DFT (PBE) results for a geometry-optimized MoAs2 structure.

abc: 4.7740 4.7740 2.6410
angles: 90.00 90.00 120.00
Space group P6/mmm (No. 191)
Asymmetric unit:
Mo  0.0000  0.0000  0.0000 [1 per cell]
As  0.3333  0.6667  0.0000 [2 per cell]

Properties
- Formation enthalpy at 0 K: 0.25 eV per atom
- Calculated density: 7.83 Mg/m³

***

DFT (PBE) results for a geometry-optimized KNa2ReCl8 structure.

abc: 6.164 6.182 8.987
angles: 90.02 90.11 95.59
Space group P-1 (No. 2)
Asymmetric unit:
K  0.000  0.000  0.000 [1 per cell]
Na  0.499  0.500  0.748 [2 per cell]
Re  0.000  0.000  0.500 [1 per cell]
Cl  0.219  0.866  0.314 [2 per cell]
Cl  0.220  0.868  0.687 [2 per cell]
Cl  0.228  0.330  0.500 [2 per cell]
Cl  0.246  0.479  0.000 [2 per cell]

Properties
- Uncorrected formation energy: -13.8 eV/f.u.
- Calculated density: 2.70 Mg/m³

***

DFT (PBE) results for a geometry-optimized CdBO2 structure.

abc: 3.2249 3.2249 18.7760
angles: 90.00 90.00 120.00
Space group R-3m (No. 166, hexagonal axes)
Asymmetric unit:
Cd  0.0000  0.0000  0.0000 [3 per cell]
B  0.0000  0.0000  0.5000 [3 per cell]
O  0.0000  0.0000  0.4326 [6 per cell]

Properties
- Distance to the lowest polymorph of the same formula: 225 meV/atom
- Uncorrected formation energy: -5.2 eV/f.u.
- Calculated density: 4.57 Mg/m³

***

DFT (PBE) results for a geometry-optimized AcVN structure.

abc: 3.584 20.206 3.587
angles: 90.00 90.00 90.00
Space group Cmcm (No. 63)
Asymmetric unit:
Ac  0.000  0.105  0.250 [4 per cell]
V  0.000  0.275  0.250 [4 per cell]
N  0.000  0.364  0.250 [4 per cell]

Properties
- Uncorrected formation energy: -1.7 eV/f.u.
- Calculated density: 7.46 Mg/m³

***

DFT (PBE) results for a geometry-optimized Ga4Ni3Ir structure.

abc: 13.242 4.063 4.063
angles: 90.00 107.76 90.00
Space group C2/m (No. 12)
Asymmetric unit:
Ga  0.130  0.000  0.130 [4 per cell]
Ga  0.130  0.500  0.630 [4 per cell]
Ni  0.000  0.000  0.500 [2 per cell]
Ni  0.244  0.500  0.244 [4 per cell]
Ir  0.000  0.500  0.000 [2 per cell]

Properties
- Formation enthalpy at 0 K: -0.35 eV per atom
- Calculated density: 10.32 Mg/m³

***

DFT (PBE) results for a geometry-optimized BaGeRuO5 structure.

abc: 7.065 9.599 7.308
angles: 90.00 113.62 90.00
Space group C2/c (No. 15)
Asymmetric unit:
Ba  0.000  0.159  0.250 [4 per cell]
Ge  0.000  0.196  0.750 [4 per cell]
Ru  0.000  0.500  0.000 [4 per cell]
O  0.000  0.463  0.250 [4 per cell]
O  0.097  0.297  0.601 [8 per cell]
O  0.192  0.080  0.916 [8 per cell]

Properties
- Uncorrected formation energy: -13.8 eV/f.u.
- Calculated density: 5.72 Mg/m³